Here is crystalline Ba5Sc4 at its relaxed geometry from the Alexandria database. Energies are from GGA-PBE.

Lattice parameters (Å, degrees): 12.186 12.186 5.058 90.00 90.00 90.00
Space group I4/mmm (No. 139)
Unique sites:
Ba 0.000 0.000 0.000 x2
Ba 0.171 0.171 0.500 x8
Sc 0.000 0.374 0.000 x8

Results
N(E_F): 36.407 states/eV per cell
E_form: 0.32 eV/atom
E above lowest polymorph: 0 meV per atom
VASP energy: -3.558 eV/atom